Record 1
Compound: AcSnSe3
Source: Alexandria via LeMat-Bulk
Functional: PBE
Structure: relaxed

- formation energy without anion corrections (eV/atom) = -1.202
- symmetry = Pnma, No. 62
- energy relative to the lowest polymorph listed for this composition (meV/atom) = 0
- D(E_F) (states/eV per atom) = 0.302

a b c (Å): 4.415 8.446 14.773
angles (deg): 90.00 90.00 90.00
Atoms (fractional coordinates):
Se: 0.250 0.679 0.721
Se: 0.250 0.179 0.779
Se: 0.250 0.854 0.992
Se: 0.750 0.146 0.008
Se: 0.250 0.471 0.123
Se: 0.750 0.821 0.221
Se: 0.750 0.529 0.877
Se: 0.250 0.971 0.377
Se: 0.750 0.646 0.492
Se: 0.750 0.029 0.623
Se: 0.250 0.354 0.508
Se: 0.750 0.321 0.279
Ac: 0.250 0.095 0.168
Ac: 0.750 0.405 0.668
Ac: 0.250 0.595 0.332
Ac: 0.750 0.905 0.832
Sn: 0.750 0.157 0.439
Sn: 0.750 0.657 0.061
Sn: 0.250 0.843 0.561
Sn: 0.250 0.343 0.939

---

Record 2
Compound: TaAl2V
Source: Alexandria via LeMat-Bulk
Functional: PBE
Structure: relaxed

- symmetry = R-3m, No. 166
- energy relative to the lowest polymorph listed for this composition (meV/atom) = 187
- formation energy from the elements (eV per atom) = -0.035
- D(E_F) (states/eV per atom) = 0.972

a b c (Å): 2.851 2.851 9.292
angles (deg): 81.17 81.17 60.00
Atoms (fractional coordinates):
Ta: 0.500 0.500 0.500
Al: 0.746 0.746 0.761
Al: 0.254 0.254 0.239
V: 0.000 0.000 0.000

---

Record 3
Compound: Ga3GeIr
Source: Alexandria via LeMat-Bulk
Functional: PBE
Structure: relaxed

- symmetry = Pm-3m, No. 221
- energy relative to the lowest polymorph listed for this composition (meV/atom) = 90
- formation energy from the elements (eV per atom) = 0.112
- D(E_F) (states/eV per atom) = 1.025

a b c (Å): 4.806 4.806 4.806
angles (deg): 90.00 90.00 90.00
Atoms (fractional coordinates):
Ga: 0.000 0.000 0.500
Ga: 0.500 0.000 0.000
Ga: 0.000 0.500 0.000
Ge: 0.500 0.500 0.500
Ir: 0.000 0.000 0.000

---

Record 4
Compound: BaSrHg2
Source: Alexandria via LeMat-Bulk
Functional: PBE
Structure: relaxed

- symmetry = R-3m, No. 166
- formation energy from the elements (eV per atom) = -0.421
- D(E_F) (states/eV per atom) = 0.737

a b c (Å): 8.467 8.467 8.467
angles (deg): 33.36 33.36 33.36
Atoms (fractional coordinates):
Hg: 0.506 0.506 0.506
Hg: 0.994 0.994 0.994
Sr: 0.250 0.250 0.250
Ba: 0.750 0.750 0.750

---

Record 5
Compound: SiTe2
Source: Alexandria via LeMat-Bulk
Functional: PBE
Structure: relaxed

- formation energy without anion corrections (eV/atom) = 0.984
- symmetry = Fd-3m, No. 227
- D(E_F) (states/eV per atom) = 0.874

a b c (Å): 6.223 6.223 6.223
angles (deg): 60.00 60.00 60.00
Atoms (fractional coordinates):
Si: 0.750 0.750 0.750
Si: 0.500 0.500 0.500
Te: 0.125 0.125 0.125
Te: 0.125 0.125 0.625
Te: 0.125 0.625 0.125
Te: 0.625 0.125 0.125

---

Record 6
Compound: Si4TeIr
Source: Alexandria via LeMat-Bulk
Functional: PBE
Structure: relaxed

- formation energy without anion corrections (eV/atom) = 0.763
- symmetry = F-43m, No. 216
- D(E_F) (states/eV per atom) = 0.532

a b c (Å): 5.214 5.214 5.214
angles (deg): 60.00 60.00 60.00
Atoms (fractional coordinates):
Ir: 0.000 0.000 0.000
Si: 0.374 0.877 0.374
Si: 0.374 0.374 0.374
Si: 0.877 0.374 0.374
Si: 0.374 0.374 0.877
Te: 0.750 0.750 0.750

---

Record 7
Compound: CePuSiAu
Source: Alexandria via LeMat-Bulk
Functional: PBE
Structure: relaxed

- formation energy without anion corrections (eV/atom) = -0.428
- symmetry = F-43m, No. 216
- D(E_F) (states/eV per atom) = 3.138

a b c (Å): 5.120 5.120 5.120
angles (deg): 60.00 60.00 60.00
Atoms (fractional coordinates):
Pu: 0.000 0.000 0.000
Ce: 0.500 0.500 0.500
Si: 0.250 0.250 0.250
Au: 0.750 0.750 0.750

---

Record 8
Compound: Ir4PdRh5
Source: Alexandria via LeMat-Bulk
Functional: PBE
Structure: relaxed

- symmetry = P4/mmm, No. 123
- formation energy from the elements (eV per atom) = 0.008
- D(E_F) (states/eV per atom) = 1.300

a b c (Å): 2.732 2.732 19.332
angles (deg): 90.00 90.00 90.00
Atoms (fractional coordinates):
Pd: 0.000 0.000 0.000
Ir: 0.000 0.000 0.599
Ir: 0.000 0.000 0.799
Ir: 0.000 0.000 0.201
Ir: 0.000 0.000 0.401
Rh: 0.500 0.500 0.301
Rh: 0.500 0.500 0.896
Rh: 0.500 0.500 0.699
Rh: 0.500 0.500 0.104
Rh: 0.500 0.500 0.500

---

Record 9
Compound: Ba5CdPt2
Source: Alexandria via LeMat-Bulk
Functional: PBE
Structure: relaxed

- symmetry = Immm, No. 71
- formation energy from the elements (eV per atom) = -0.495
- D(E_F) (states/eV per atom) = 0.797

a b c (Å): 4.788 8.173 9.708
angles (deg): 114.89 104.28 90.00
Atoms (fractional coordinates):
Pt: 0.811 0.311 0.622
Pt: 0.189 0.689 0.378
Ba: 0.654 0.913 0.307
Ba: 0.000 0.500 0.000
Ba: 0.654 0.394 0.307
Ba: 0.346 0.087 0.693
Ba: 0.346 0.606 0.693
Cd: 0.000 0.000 0.000

---

Record 10
Compound: BTeC3
Source: Alexandria via LeMat-Bulk
Functional: PBE
Structure: relaxed

- formation energy without anion corrections (eV/atom) = 2.509
- symmetry = Pm-3m, No. 221
- energy relative to the lowest polymorph listed for this composition (meV/atom) = 0
- D(E_F) (states/eV per atom) = 0.592

a b c (Å): 3.661 3.661 3.661
angles (deg): 90.00 90.00 90.00
Atoms (fractional coordinates):
B: 0.000 0.000 0.000
Te: 0.500 0.500 0.500
C: 0.000 0.000 0.500
C: 0.000 0.500 0.000
C: 0.500 0.000 0.000

---

Record 11
Compound: Ce2P3Rh5
Source: Alexandria via LeMat-Bulk
Functional: PBE
Structure: relaxed

- symmetry = Cmc2_1, No. 36
- formation energy from the elements (eV per atom) = -0.933
- D(E_F) (states/eV per atom) = 0.774

a b c (Å): 4.025 6.554 12.664
angles (deg): 90.00 99.14 90.00
Atoms (fractional coordinates):
Rh: 0.063 0.624 0.127
Rh: 0.878 0.742 0.756
Rh: 0.600 0.904 0.200
Rh: 0.731 0.990 0.461
Rh: 0.305 0.882 0.610
Rh: 0.695 0.382 0.390
Rh: 0.937 0.124 0.873
Rh: 0.122 0.242 0.244
Rh: 0.400 0.404 0.800
Rh: 0.269 0.490 0.539
P: 0.053 0.994 0.107
P: 0.610 0.520 0.220
P: 0.947 0.494 0.893
P: 0.216 0.188 0.432
P: 0.784 0.688 0.568
P: 0.390 0.020 0.780
Ce: 0.179 0.742 0.357
Ce: 0.483 0.779 0.966
Ce: 0.517 0.279 0.034
Ce: 0.821 0.242 0.643

---

Record 12
Compound: KNaCa2Cl6
Source: Alexandria via LeMat-Bulk
Functional: PBE
Structure: relaxed

- formation energy without anion corrections (eV/atom) = -2.190
- symmetry = R3, No. 146
- D(E_F) (states/eV per atom) = 0.000

a b c (Å): 7.265 7.265 7.602
angles (deg): 61.46 61.46 60.00
Atoms (fractional coordinates):
Cl: 0.630 0.245 0.232
Cl: 0.893 0.630 0.232
Cl: 0.737 0.170 0.739
Cl: 0.245 0.893 0.232
Cl: 0.354 0.737 0.740
Cl: 0.170 0.354 0.740
Ca: 0.009 0.009 0.973
Ca: 0.517 0.517 0.450
Na: 0.311 0.311 0.066
K: 0.796 0.796 0.613

---

Record 13
Compound: Mn2RhI6
Source: Alexandria via LeMat-Bulk
Functional: PBE
Structure: relaxed

- formation energy without anion corrections (eV/atom) = -0.308
- symmetry = C2/m, No. 12
- D(E_F) (states/eV per atom) = 0.146

a b c (Å): 4.160 8.500 10.038
angles (deg): 109.59 90.00 104.16
Atoms (fractional coordinates):
Mn: 0.329 0.658 0.171
Mn: 0.671 0.342 0.829
I: 0.038 0.075 0.782
I: 0.379 0.759 0.468
I: 0.962 0.925 0.218
I: 0.699 0.398 0.130
I: 0.621 0.241 0.532
I: 0.301 0.602 0.870
Rh: 0.000 0.000 0.500

---

Record 14
Compound: Ce3CoSi2
Source: Alexandria via LeMat-Bulk
Functional: PBE
Structure: relaxed

- formation energy without anion corrections (eV/atom) = -0.602
- symmetry = Pnma, No. 62
- D(E_F) (states/eV per atom) = 1.405

a b c (Å): 4.157 10.109 11.874
angles (deg): 90.00 90.00 90.00
Atoms (fractional coordinates):
Co: 0.750 0.839 0.878
Co: 0.250 0.339 0.622
Co: 0.250 0.161 0.122
Co: 0.750 0.661 0.378
Si: 0.750 0.302 0.527
Si: 0.750 0.198 0.027
Si: 0.750 0.533 0.208
Si: 0.250 0.802 0.973
Si: 0.250 0.698 0.473
Si: 0.250 0.033 0.292
Si: 0.750 0.967 0.708
Si: 0.250 0.467 0.792
Ce: 0.750 0.570 0.626
Ce: 0.750 0.930 0.126
Ce: 0.250 0.757 0.724
Ce: 0.250 0.743 0.224
Ce: 0.750 0.243 0.276
Ce: 0.750 0.257 0.776
Ce: 0.250 0.070 0.874
Ce: 0.250 0.091 0.547
Ce: 0.250 0.430 0.374
Ce: 0.750 0.909 0.453
Ce: 0.250 0.409 0.047
Ce: 0.750 0.591 0.953

---

Record 15
Compound: NaCrGe3
Source: Alexandria via LeMat-Bulk
Functional: PBE
Structure: relaxed

- symmetry = Pm-3m, No. 221
- energy relative to the lowest polymorph listed for this composition (meV/atom) = 1603
- formation energy from the elements (eV per atom) = 1.682
- D(E_F) (states/eV per atom) = 1.345

a b c (Å): 4.866 4.866 4.866
angles (deg): 90.00 90.00 90.00
Atoms (fractional coordinates):
Na: 0.000 0.000 0.000
Ge: 0.000 0.000 0.500
Ge: 0.000 0.500 0.000
Ge: 0.500 0.000 0.000
Cr: 0.500 0.500 0.500

---

Record 16
Compound: BiSbIr
Source: Alexandria via LeMat-Bulk
Functional: PBE
Structure: relaxed

- formation energy without anion corrections (eV/atom) = -0.152
- symmetry = P2_1/c, No. 14
- energy relative to the lowest polymorph listed for this composition (meV/atom) = 64
- D(E_F) (states/eV per atom) = 0.267

a b c (Å): 5.858 6.650 7.638
angles (deg): 96.69 90.00 90.00
Atoms (fractional coordinates):
Sb: 0.815 0.937 0.611
Sb: 0.685 0.937 0.111
Sb: 0.185 0.063 0.389
Sb: 0.315 0.063 0.889
Ir: 0.999 0.787 0.885
Ir: 0.001 0.213 0.115
Ir: 0.501 0.787 0.385
Ir: 0.499 0.213 0.615
Bi: 0.233 0.566 0.601
Bi: 0.267 0.566 0.101
Bi: 0.767 0.434 0.399
Bi: 0.733 0.434 0.899

---

Record 17
Compound: NaLa3Ir
Source: Alexandria via LeMat-Bulk
Functional: PBE
Structure: relaxed

- symmetry = I-4m2, No. 119
- energy relative to the lowest polymorph listed for this composition (meV/atom) = 831
- formation energy from the elements (eV per atom) = 0.507
- D(E_F) (states/eV per atom) = 1.252

a b c (Å): 5.711 5.711 13.454
angles (deg): 77.75 77.75 90.00
Atoms (fractional coordinates):
La: 0.289 0.289 0.422
La: 0.137 0.376 0.726
La: 0.711 0.711 0.578
La: 0.624 0.863 0.274
La: 0.137 0.898 0.726
La: 0.102 0.863 0.274
Ir: 0.698 0.198 0.604
Ir: 0.802 0.302 0.396
Na: 0.000 0.000 0.000
Na: 0.250 0.750 0.500

---

Record 18
Compound: Dy2PuTc2
Source: Alexandria via LeMat-Bulk
Functional: PBE
Structure: relaxed

- symmetry = C2/c, No. 15
- formation energy from the elements (eV per atom) = -0.130
- D(E_F) (states/eV per atom) = 1.353

a b c (Å): 5.738 5.738 7.911
angles (deg): 81.07 81.07 61.22
Atoms (fractional coordinates):
Tc: 0.744 0.005 0.511
Tc: 0.005 0.744 0.011
Tc: 0.256 0.995 0.489
Tc: 0.995 0.256 0.989
Dy: 0.783 0.523 0.347
Dy: 0.523 0.783 0.847
Dy: 0.477 0.217 0.153
Dy: 0.217 0.477 0.653
Pu: 0.861 0.139 0.750
Pu: 0.139 0.861 0.250

---

Record 19
Compound: MnIn2Rh
Source: Alexandria via LeMat-Bulk
Functional: PBE
Structure: relaxed

- symmetry = P2/m, No. 10
- formation energy from the elements (eV per atom) = -0.082
- D(E_F) (states/eV per atom) = 0.437

a b c (Å): 3.129 3.130 7.710
angles (deg): 65.96 90.00 90.00
Atoms (fractional coordinates):
In: 0.000 0.006 0.994
In: 0.000 0.494 0.506
Rh: 0.500 0.750 0.750
Mn: 0.500 0.250 0.250

---

Record 20
Compound: LaPrMg
Source: Alexandria via LeMat-Bulk
Functional: PBE
Structure: relaxed

- symmetry = Cm, No. 8
- energy relative to the lowest polymorph listed for this composition (meV/atom) = 401
- formation energy from the elements (eV per atom) = 0.344
- D(E_F) (states/eV per atom) = 2.465

a b c (Å): 5.410 5.410 5.380
angles (deg): 93.22 118.11 118.39
Atoms (fractional coordinates):
La: 0.946 0.472 0.418
Mg: 0.444 0.222 0.666
Pr: 0.943 0.973 0.915